Record 1
This record from the Alexandria database describes a relaxed BaNi2HgCl crystal. The functional is PBE.

abc: 5.2408 6.5507 5.2408
angles: 90.00 90.00 90.00
Site moments in Bohr magnetons follow the coordinates.
Atoms (fractional coordinates):
Hg 0.0000 0.5000 0.0000  0.01
Ba 0.0000 0.0000 0.0000  -0.02
Ni 0.0000 0.0000 0.5000  0.31
Ni 0.5000 0.0000 0.0000  0.21
Cl 0.5000 0.5000 0.5000  0.01

Values from the calculation:
Total energy in eV/cell: -10.22
SG: P4/mmm
Formation energy without anion corrections in meV per atom: 1083
Calculated density in g cm⁻³: 4.529

Record 2
This record from the Alexandria database describes a relaxed Ba2HgCl2O2 crystal. The functional is PBE.

abc: 4.2809 6.4753 7.5651
angles: 70.02 73.56 70.70
Atoms (fractional coordinates):
O 0.1835 0.7003 0.9328
O 0.8165 0.2997 0.0672
Ba 0.8071 0.6401 0.7457
Ba 0.1929 0.3599 0.2543
Hg 0.0000 0.0000 0.0000
Cl 0.5777 0.2155 0.6292
Cl 0.4223 0.7845 0.3708

Values from the calculation:
Total energy in eV/cell: -32.01
SG: C2/m
Formation energy without anion corrections in meV per atom: -2036
Calculated density in g cm⁻³: 5.259

Record 3
This record from the Alexandria database describes a relaxed BaHg2ClO2 crystal. The functional is PBE.

abc: 6.5008 7.2176 9.2148
angles: 124.04 90.00 90.00
Atoms (fractional coordinates):
Hg 0.7500 0.4300 0.3387
Hg 0.2500 0.1617 0.3555
Hg 0.7500 0.8383 0.6445
Hg 0.2500 0.5700 0.6613
Ba 0.7500 0.8192 0.0281
Ba 0.2500 0.1808 0.9719
O 0.5054 0.1775 0.1941
O 0.0054 0.8225 0.8059
O 0.4946 0.8225 0.8059
O 0.9946 0.1775 0.1941
Cl 0.7500 0.2858 0.8399
Cl 0.2500 0.7142 0.1601

Values from the calculation:
Total energy in eV/cell: -40.86
SG: P2_1/m
Formation energy without anion corrections in meV per atom: -1024
Calculated density in g cm⁻³: 5.617

Record 4
This record from the Alexandria database describes a relaxed BaHgPCl2 crystal. The functional is PBE.

abc: 5.5838 5.5838 4.9419
angles: 90.00 90.00 90.00
Site moments in Bohr magnetons follow the coordinates.
Atoms (fractional coordinates):
P 0.0000 0.0000 0.5000  0.38
Cl 0.5000 0.0000 0.0000  0.04
Cl 0.0000 0.5000 0.0000  0.04
Hg 0.0000 0.0000 0.0000  0.03
Ba 0.5000 0.5000 0.5000  0.01

Values from the calculation:
Energy above the lowest structure with this stoichiometry in eV/atom: 0.000
Total energy in eV/cell: -14.98
SG: P4/mmm
Formation energy without anion corrections in meV per atom: -730
Calculated density in g cm⁻³: 4.740

Record 5
This record from the Alexandria database describes a relaxed BaHgP2Cl crystal. The functional is PBE.

abc: 6.6142 6.6142 5.9334
angles: 90.00 90.00 90.00
Site moments in Bohr magnetons follow the coordinates.
Atoms (fractional coordinates):
P 0.5000 0.0000 0.0000  0.97
P 0.0000 0.5000 0.0000  0.97
Ba 0.0000 0.0000 0.0000  0.04
Hg 0.5000 0.5000 0.5000  0.05
Cl 0.0000 0.0000 0.5000  0.04

Values from the calculation:
Energy above the lowest structure with this stoichiometry in eV/atom: 0.514
Total energy in eV/cell: -13.37
SG: P4/mmm
Formation energy without anion corrections in meV per atom: 303
Calculated density in g cm⁻³: 2.785

Record 6
This record from the Alexandria database describes a relaxed Ba6HgP2Cl3 crystal. The functional is PBE.

abc: 4.6682 9.5803 10.6533
angles: 102.25 102.66 90.00
Site moments in Bohr magnetons follow the coordinates.
Atoms (fractional coordinates):
P 0.8328 0.6608 0.6657  0.01
P 0.1672 0.3392 0.3343  0.01
Cl 0.5000 0.5000 0.0000  0.01
Cl 0.8285 0.1664 0.6571  0.01
Cl 0.1715 0.8336 0.3429  0.01
Ba 0.0109 0.2616 0.0218  0.13
Ba 0.6752 0.5715 0.3504  0.01
Ba 0.3248 0.4285 0.6496  0.01
Ba 0.6673 0.1092 0.3347  0.07
Ba 0.9891 0.7384 0.9782  0.13
Ba 0.3327 0.8908 0.6653  0.07
Hg 0.5000 0.0000 0.0000  0.20

Values from the calculation:
Total energy in eV/cell: -45.53
SG: C2/m
Formation energy without anion corrections in meV per atom: -1444
Calculated density in g cm⁻³: 4.365

| no. | Fermi-level density of states (states/eV/atom) |
| --- | --- |
| 1 | 3.256 |
| 2 | 0.000 |
| 3 | 0.679 |
| 4 | 0.585 |
| 5 | 0.101 |
| 6 | 0.341 |